# Ag3AsS4

Ag3AsS4 after structural relaxation (GGA-PBE, OQMD).

calculated volume = 23.3 Å³/atom
final energy = -30.3 eV per formula unit

```
data_Ag3AsS4
_space_group_name_H-M_alt 'I -4 2 m'
_space_group_IT_number 121
_space_group_name_Hall 'I -4 2'
_cell_length_a 5.7407
_cell_length_b 5.7407
_cell_length_c 11.3186
_cell_angle_alpha 90.00
_cell_angle_beta 90.00
_cell_angle_gamma 90.00
loop_
_atom_site_label
_atom_site_type_symbol
_atom_site_fract_x
_atom_site_fract_y
_atom_site_fract_z
Ag1 Ag 0.0000 0.0000 0.0000
Ag2 Ag 0.0000 0.5000 0.2500
As1 As 0.0000 0.0000 0.5000
S1 S 0.2238 0.2238 0.6151
```